Here is a relaxed structure of K3Mg2CoF9 from Alexandria. Energies are from GGA+U.

Properties
Total magnetization, μB per atom: 0.200
Total DFT energy (no corrections), eV/atom: -4.910
Calculated volume, A^3/atom: 13.517

```
data_K3Mg2CoF9
_chemical_formula_sum 'K3 Mg2 Co1 F9'
_cell_length_a 5.7587
_cell_length_b 5.7587
_cell_length_c 7.0600
_cell_angle_alpha 90.00
_cell_angle_beta 90.00
_cell_angle_gamma 120.00
_space_group_name_H-M_alt 'P -3 m 1'
_space_group_IT_number 164
_space_group_name_Hall '-P 3 2"'
loop_
_atom_site_label
_atom_site_type_symbol
_atom_site_fract_x
_atom_site_fract_y
_atom_site_fract_z
K1 K 0.0000 0.0000 0.0000
K2 K 0.3333 0.6667 0.6634
Mg1 Mg 0.3333 0.6667 0.1628
Co1 Co 0.0000 0.0000 0.5000
F1 F 0.0000 0.5000 0.0000
F2 F 0.1689 0.3379 0.3303
```